Compound: AgW2O
Source: Alexandria via LeMat-Bulk
Functional: PBE+U
Structure: relaxed

## Properties
Mass density in Mg/m³: 8.40
VASP energy in eV per atom: -4.75

The structure in POSCAR format:
```
AgW2O
1.0
-4.5649 2.9374 1.0141
0.4887 -1.1010 5.3892
1.5048 6.1649 3.9523
O Ag W
2 2 4
Direct
0.5000 0.5000 0.0000
0.2500 0.7500 0.5000
0.0000 0.0000 0.0000
0.7500 0.2500 0.5000
0.4094 0.1250 0.2500
0.3406 0.6250 0.2500
0.3750 0.5906 0.7500
0.8750 0.6594 0.7500
```